! SrPrGdNiO6 PBE+U optimized geometry; values from VASP
! Space-group type: F-43m
! Total moment, Bohr magnetons per cell: 6.98
! Energy, eV for the cell shown: -75.77
&SYSTEM
  ibrav = 0, nat = 10, ntyp = 5
/
ATOMIC_SPECIES
Sr 87.62 Sr.upf
Pr 140.91 Pr.upf
Gd 157.25 Gd.upf
Ni 58.69 Ni.upf
O 16.00 O.upf
CELL_PARAMETERS angstrom
-5.606 -0.210 1.061
-3.097 4.796 -0.052
-3.739 0.938 -4.211
ATOMIC_POSITIONS crystal
Sr 0.250 0.250 0.250
Pr 0.750 0.750 0.750
Gd 0.000 0.000 0.000
Ni 0.500 0.500 0.500
O 0.270 0.730 0.270
O 0.730 0.270 0.730
O 0.270 0.730 0.730
O 0.730 0.270 0.270
O 0.270 0.270 0.730
O 0.730 0.730 0.270